[1]
Here is a relaxed structure of Mg5InAu from the Alexandria database. Energies are from PBE.

a = 6.135 Å, b = 6.135 Å, c = 10.475 Å
α = 111.95°, β = 111.95°, γ = 69.83°
Atoms (fractional coordinates):
Mg  0.003  0.237  0.991
Mg  0.143  0.340  0.765
Mg  0.185  0.815  0.750
Mg  0.237  0.003  0.491
Mg  0.340  0.143  0.265
Mg  0.660  0.857  0.735
Mg  0.763  0.997  0.509
Mg  0.815  0.185  0.250
Mg  0.857  0.660  0.235
Mg  0.997  0.763  0.009
In  0.393  0.607  0.250
In  0.607  0.393  0.750
Au  0.000  0.500  0.500
Au  0.500  0.000  0.000

## Properties
Theoretical density (g cm⁻³): 4.369
Size of the total moment (μB per atom): 0.00
Crystal system: monoclinic
Relative energy among the computed polymorphs (meV per atom): 193.6
Calculated formation energy (eV per atom): -0.063
VASP energy (eV/atom): -2.06

=====

[2]
Here is a relaxed structure of Mg4In5Au2 from the Alexandria database. Energies are from PBE.

a = 7.755 Å, b = 3.303 Å, c = 9.649 Å
α = 90.00°, β = 93.68°, γ = 90.00°
Atoms (fractional coordinates):
Mg  0.204  0.000  0.358
Mg  0.211  0.000  0.930
Mg  0.789  0.000  0.070
Mg  0.796  0.000  0.642
In  0.150  0.500  0.636
In  0.471  0.500  0.167
In  0.500  0.500  0.500
In  0.529  0.500  0.833
In  0.850  0.500  0.364
Au  0.087  0.500  0.140
Au  0.913  0.500  0.860

## Properties
Theoretical density (g cm⁻³): 7.171
Size of the total moment (μB per atom): 0.00
Crystal system: monoclinic
Calculated formation energy (eV per atom): -0.246
VASP energy (eV/atom): -2.67

=====

[3]
Here is a relaxed structure of Mg4InAu2 from the Alexandria database. Energies are from PBE.

a = 8.193 Å, b = 8.193 Å, c = 8.193 Å
α = 33.15°, β = 33.15°, γ = 33.15°
Atoms (fractional coordinates):
Mg  0.111  0.111  0.111
Mg  0.368  0.368  0.368
Mg  0.632  0.632  0.632
Mg  0.889  0.889  0.889
In  0.500  0.500  0.500
Au  0.250  0.250  0.250
Au  0.750  0.750  0.750

## Properties
Theoretical density (g cm⁻³): 6.873
Size of the total moment (μB per atom): 0.00
Crystal system: trigonal
Relative energy among the computed polymorphs (meV per atom): 0.0
Calculated formation energy (eV per atom): -0.388
VASP energy (eV/atom): -2.63

=====

[4]
Here is a relaxed structure of MgIn2Au from the Alexandria database. Energies are from PBE.

a = 6.071 Å, b = 6.071 Å, c = 3.609 Å
α = 107.19°, β = 107.19°, γ = 120.27°
Atoms (fractional coordinates):
Mg  0.000  0.000  0.000
In  0.000  0.500  0.000
In  0.500  0.000  0.000
Au  0.500  0.500  0.000

## Properties
Theoretical density (g cm⁻³): 8.096
Size of the total moment (μB per atom): 0.00
Crystal system: monoclinic
Calculated formation energy (eV per atom): -0.103
VASP energy (eV/atom): -2.69

=====

[5]
Here is a relaxed structure of MgIn2Au from the Alexandria database. Energies are from PBE.

a = 5.024 Å, b = 5.024 Å, c = 5.024 Å
α = 60.00°, β = 60.00°, γ = 60.00°
Atoms (fractional coordinates):
Mg  0.000  0.000  0.000
In  0.500  0.500  0.500
In  0.750  0.750  0.750
Au  0.250  0.250  0.250

## Properties
Theoretical density (g cm⁻³): 8.349
Size of the total moment (μB per atom): 0.00
Crystal system: cubic
Calculated formation energy (eV per atom): -0.121
VASP energy (eV/atom): -2.71

=====

[6]
Here is a relaxed structure of Mg5InAu3 from the Alexandria database. Energies are from PBE.

a = 8.261 Å, b = 8.261 Å, c = 5.954 Å
α = 90.00°, β = 90.00°, γ = 120.00°
Atoms (fractional coordinates):
Mg  0.000  0.327  0.250
Mg  0.000  0.673  0.750
Mg  0.327  0.000  0.250
Mg  0.327  0.327  0.750
Mg  0.333  0.667  0.000
Mg  0.333  0.667  0.500
Mg  0.667  0.333  0.000
Mg  0.667  0.333  0.500
Mg  0.673  0.000  0.750
Mg  0.673  0.673  0.250
In  0.000  0.000  0.000
In  0.000  0.000  0.500
Au  0.000  0.347  0.750
Au  0.000  0.653  0.250
Au  0.347  0.000  0.750
Au  0.347  0.347  0.250
Au  0.653  0.000  0.250
Au  0.653  0.653  0.750

## Properties
Theoretical density (g cm⁻³): 7.807
Size of the total moment (μB per atom): 0.00
Crystal system: hexagonal
Calculated formation energy (eV per atom): -0.432
VASP energy (eV/atom): -2.71

=====

[7]
Here is a relaxed structure of MgIn2Au from the Alexandria database. Energies are from PBE.

a = 5.450 Å, b = 5.450 Å, c = 5.450 Å
α = 132.20°, β = 132.20°, γ = 69.91°
Atoms (fractional coordinates):
Mg  0.000  0.000  0.000
In  0.500  0.500  0.000
In  0.750  0.250  0.500
Au  0.250  0.750  0.500

## Properties
Theoretical density (g cm⁻³): 8.598
Size of the total moment (μB per atom): 0.00
Crystal system: tetragonal
Calculated formation energy (eV per atom): -0.161
VASP energy (eV/atom): -2.75

=====

[8]
Here is a relaxed structure of Mg5In4Au from the Alexandria database. Energies are from PBE.

a = 3.521 Å, b = 3.521 Å, c = 18.082 Å
α = 90.00°, β = 90.00°, γ = 90.00°
Atoms (fractional coordinates):
Mg  0.000  0.000  0.000
Mg  0.000  0.000  0.212
Mg  0.000  0.000  0.419
Mg  0.000  0.000  0.581
Mg  0.000  0.000  0.788
In  0.500  0.500  0.106
In  0.500  0.500  0.313
In  0.500  0.500  0.687
In  0.500  0.500  0.894
Au  0.500  0.500  0.500

## Properties
Theoretical density (g cm⁻³): 5.762
Size of the total moment (μB per atom): 0.00
Crystal system: tetragonal
Calculated formation energy (eV per atom): -0.178
VASP energy (eV/atom): -2.40

=====

[9]
Here is a relaxed structure of Mg2InAu2 from the Alexandria database. Energies are from PBE.

a = 6.865 Å, b = 6.865 Å, c = 6.865 Å
α = 144.22°, β = 144.22°, γ = 51.49°
Atoms (fractional coordinates):
Mg  0.250  0.750  0.500
Mg  0.750  0.250  0.500
In  0.000  0.000  0.000
Au  0.388  0.388  0.000
Au  0.612  0.612  0.000

## Properties
Theoretical density (g cm⁻³): 8.414
Size of the total moment (μB per atom): 0.00
Crystal system: tetragonal
Relative energy among the computed polymorphs (meV per atom): 153.3
Calculated formation energy (eV per atom): -0.314
VASP energy (eV/atom): -2.81

=====

[10]
Here is a relaxed structure of Mg2InAu6 from the Alexandria database. Energies are from PBE.

a = 8.761 Å, b = 8.761 Å, c = 4.315 Å
α = 90.00°, β = 90.00°, γ = 90.00°
Atoms (fractional coordinates):
Mg  0.190  0.190  0.000
Mg  0.310  0.690  0.500
Mg  0.690  0.310  0.500
Mg  0.810  0.810  0.000
In  0.000  0.000  0.500
In  0.500  0.500  0.000
Au  0.016  0.331  0.500
Au  0.150  0.850  0.000
Au  0.169  0.516  0.000
Au  0.331  0.016  0.500
Au  0.350  0.350  0.500
Au  0.484  0.831  0.000
Au  0.516  0.169  0.000
Au  0.650  0.650  0.500
Au  0.669  0.984  0.500
Au  0.831  0.484  0.000
Au  0.850  0.150  0.000
Au  0.984  0.669  0.500

## Properties
Theoretical density (g cm⁻³): 13.490
Size of the total moment (μB per atom): 0.00
Crystal system: tetragonal
Relative energy among the computed polymorphs (meV per atom): 0.0
Calculated formation energy (eV per atom): -0.353
VASP energy (eV/atom): -3.20

=====

[11]
Here is a relaxed structure of Mg8In6Au from the Alexandria database. Energies are from PBE.

a = 7.920 Å, b = 7.920 Å, c = 7.920 Å
α = 63.54°, β = 63.54°, γ = 63.54°
Atoms (fractional coordinates):
Mg  0.031  0.729  0.391
Mg  0.169  0.169  0.169
Mg  0.271  0.609  0.969
Mg  0.391  0.031  0.729
Mg  0.609  0.969  0.271
Mg  0.729  0.391  0.031
Mg  0.831  0.831  0.831
Mg  0.969  0.271  0.609
In  0.127  0.436  0.761
In  0.239  0.873  0.564
In  0.436  0.761  0.127
In  0.564  0.239  0.873
In  0.761  0.127  0.436
In  0.873  0.564  0.239
Au  0.500  0.500  0.500

## Properties
Theoretical density (g cm⁻³): 4.736
Size of the total moment (μB per atom): 0.00
Crystal system: trigonal
Calculated formation energy (eV per atom): -0.005
VASP energy (eV/atom): -2.17

=====

[12]
Here is a relaxed structure of MgIn2Au5 from the Alexandria database. Energies are from PBE.

a = 8.265 Å, b = 8.265 Å, c = 8.265 Å
α = 148.47°, β = 148.47°, γ = 45.19°
Atoms (fractional coordinates):
Mg  0.000  0.000  0.000
In  0.253  0.253  0.000
In  0.747  0.747  0.000
Au  0.120  0.620  0.500
Au  0.380  0.880  0.500
Au  0.500  0.500  0.000
Au  0.620  0.120  0.500
Au  0.880  0.380  0.500

## Properties
Theoretical density (g cm⁻³): 13.367
Size of the total moment (μB per atom): 0.00
Crystal system: tetragonal
Calculated formation energy (eV per atom): -0.223
VASP energy (eV/atom): -3.16

=====

[13]
Here is a relaxed structure of Mg2InAu4 from the Alexandria database. Energies are from PBE.

a = 4.582 Å, b = 4.582 Å, c = 7.712 Å
α = 99.60°, β = 99.60°, γ = 63.17°
Atoms (fractional coordinates):
Mg  0.237  0.237  0.273
Mg  0.763  0.763  0.727
In  0.500  0.500  0.000
Au  0.126  0.126  0.849
Au  0.393  0.393  0.624
Au  0.607  0.607  0.376
Au  0.874  0.874  0.151

## Properties
Theoretical density (g cm⁻³): 11.149
Size of the total moment (μB per atom): 0.00
Crystal system: monoclinic
Calculated formation energy (eV per atom): -0.337
VASP energy (eV/atom): -3.06

=====

[14]
Here is a relaxed structure of Mg2InAu3 from the Alexandria database. Energies are from PBE.

a = 3.340 Å, b = 3.340 Å, c = 10.218 Å
α = 90.00°, β = 90.00°, γ = 90.00°
Atoms (fractional coordinates):
Mg  0.000  0.000  0.159
Mg  0.000  0.000  0.841
In  0.000  0.000  0.500
Au  0.500  0.500  0.000
Au  0.500  0.500  0.311
Au  0.500  0.500  0.689

## Properties
Theoretical density (g cm⁻³): 10.991
Size of the total moment (μB per atom): 0.00
Crystal system: tetragonal
Calculated formation energy (eV per atom): -0.456
VASP energy (eV/atom): -3.08

=====

[15]
Here is a relaxed structure of MgInAu5 from the Alexandria database. Energies are from PBE.

a = 5.052 Å, b = 5.052 Å, c = 5.602 Å
α = 90.00°, β = 90.00°, γ = 90.00°
Atoms (fractional coordinates):
Mg  0.000  0.000  0.000
In  0.500  0.500  0.500
Au  0.000  0.000  0.500
Au  0.000  0.500  0.242
Au  0.000  0.500  0.758
Au  0.500  0.000  0.242
Au  0.500  0.000  0.758

## Properties
Theoretical density (g cm⁻³): 13.052
Size of the total moment (μB per atom): 0.00
Crystal system: tetragonal
Calculated formation energy (eV per atom): -0.196
VASP energy (eV/atom): -3.16

=====

[16]
Here is a relaxed structure of MgIn2Au from the Alexandria database. Energies are from PBE.

a = 4.353 Å, b = 4.353 Å, c = 4.575 Å
α = 90.00°, β = 90.00°, γ = 90.00°
Atoms (fractional coordinates):
Mg  0.000  0.000  0.000
In  0.000  0.500  0.500
In  0.500  0.000  0.500
Au  0.500  0.500  0.000

## Properties
Theoretical density (g cm⁻³): 8.638
Size of the total moment (μB per atom): 0.00
Crystal system: tetragonal
Calculated formation energy (eV per atom): -0.167
VASP energy (eV/atom): -2.75

=====

[17]
Here is a relaxed structure of Mg2InAu7 from the Alexandria database. Energies are from PBE.

a = 7.970 Å, b = 7.970 Å, c = 4.550 Å
α = 90.00°, β = 90.00°, γ = 124.54°
Atoms (fractional coordinates):
Mg  0.203  0.797  0.000
Mg  0.797  0.203  0.000
In  0.500  0.500  0.500
Au  0.000  0.000  0.000
Au  0.205  0.418  0.000
Au  0.304  0.696  0.500
Au  0.418  0.205  0.000
Au  0.582  0.795  0.000
Au  0.696  0.304  0.500
Au  0.795  0.582  0.000

## Properties
Theoretical density (g cm⁻³): 10.757
Size of the total moment (μB per atom): 0.00
Crystal system: orthorhombic
Calculated formation energy (eV per atom): -0.080
VASP energy (eV/atom): -2.97

=====

[18]
Here is a relaxed structure of Mg4InAu from the Alexandria database. Energies are from PBE.

a = 3.382 Å, b = 4.923 Å, c = 8.038 Å
α = 90.00°, β = 90.00°, γ = 90.00°
Atoms (fractional coordinates):
Mg  0.000  0.000  0.180
Mg  0.000  0.000  0.820
Mg  0.500  0.500  0.281
Mg  0.500  0.500  0.719
In  0.500  0.000  0.500
Au  0.000  0.500  0.000

## Properties
Theoretical density (g cm⁻³): 5.075
Size of the total moment (μB per atom): 0.00
Crystal system: orthorhombic
Relative energy among the computed polymorphs (meV per atom): 0.0
Calculated formation energy (eV per atom): -0.223
VASP energy (eV/atom): -2.29

=====

[19]
Here is a relaxed structure of MgIn4Au from the Alexandria database. Energies are from PBE.

a = 6.061 Å, b = 6.061 Å, c = 6.061 Å
α = 60.00°, β = 60.00°, γ = 60.00°
Atoms (fractional coordinates):
Mg  0.000  0.000  0.000
In  0.375  0.375  0.375
In  0.375  0.375  0.875
In  0.375  0.875  0.375
In  0.875  0.375  0.375
Au  0.750  0.750  0.750

## Properties
Theoretical density (g cm⁻³): 7.179
Size of the total moment (μB per atom): 0.00
Crystal system: cubic
Calculated formation energy (eV per atom): 0.199
VASP energy (eV/atom): -2.44

=====

[20]
Here is a relaxed structure of Mg2In2Au7 from the Alexandria database. Energies are from PBE.

a = 6.543 Å, b = 6.543 Å, c = 5.445 Å
α = 97.24°, β = 97.24°, γ = 79.61°
Atoms (fractional coordinates):
Mg  0.208  0.792  0.000
Mg  0.792  0.208  0.000
In  0.250  0.250  0.299
In  0.750  0.750  0.701
Au  0.000  0.000  0.500
Au  0.053  0.396  0.768
Au  0.396  0.053  0.768
Au  0.476  0.476  0.741
Au  0.524  0.524  0.259
Au  0.604  0.947  0.232
Au  0.947  0.604  0.232

## Properties
Theoretical density (g cm⁻³): 12.167
Size of the total moment (μB per atom): 0.00
Crystal system: monoclinic
Calculated formation energy (eV per atom): -0.231
VASP energy (eV/atom): -3.10